1.
Material: TlIn2AuF
Method: DFT, GGA-PBE
State: optimized geometry

Values from the calculation:
- D(E_F): 3.29 states/eV/cell
- Electronic total energy: -2.85 eV/atom
- Uncorrected formation energy: -5.9 kcal/mol of atoms
- Total moment: 0.000 μB per cell

Lattice parameters (Å, degrees): 5.407 4.708 5.407 90.00 90.00 90.00
Positions (direct):
F 0.000 0.500 0.000
Au 0.000 0.000 0.000
In 0.500 0.000 0.000
Tl 0.500 0.500 0.500
In 0.000 0.000 0.500

***

2.
Material: Zr2InAuF
Method: DFT, GGA-PBE
State: optimized geometry

Values from the calculation:
- D(E_F): 5.53 states/eV/cell
- Electronic total energy: -5.57 eV/atom
- Uncorrected formation energy: -13.2 kcal/mol of atoms
- Total moment: 0.000 μB per cell

Lattice parameters (Å, degrees): 4.439 4.928 4.439 90.00 90.00 90.00
Positions (direct):
Zr 0.500 0.000 0.000
Zr 0.000 0.000 0.500
F 0.000 0.000 0.000
In 0.000 0.500 0.000
Au 0.500 0.500 0.500